*P*
# Nd12Dy6In

Nd12Dy6In after structural relaxation (GGA-PBE, Alexandria).

a b c (Å): 13.2091 13.2091 12.9012
angles (deg): 90.00 90.00 120.00
Space group R-3m (No. 166, hexagonal axes)
Symmetry-distinct sites (fractional):
Nd  0.0000  0.2592  0.0000
Nd  0.0613  0.5306  0.1102
Dy  0.0896  0.1792  0.7744
In  0.0000  0.0000  0.0000

***

*Q*
# Nd12Dy6In

Nd12Dy6In after structural relaxation (GGA-PBE, Alexandria).

a b c (Å): 12.0796 12.0796 15.3381
angles (deg): 90.00 90.00 120.00
Space group R-3 (No. 148, hexagonal axes)
Symmetry-distinct sites (fractional):
Nd  0.0059  0.1763  0.3134
Nd  0.0470  0.8468  0.9154
Dy  0.0240  0.4338  0.1898
In  0.0000  0.0000  0.5000

***

Most favorable structure: *Q*. The second most favorable one is 0.021 eV/atom above it.